Version a
{"formula": "Hf3ZrP", "functional": "GGA-PBE", "state": "relaxed", "cell": [[4.855, 0.000, 0.000], [0.000, 4.855, 0.000], [0.000, 0.000, 4.855]], "species": ["Hf", "Hf", "Hf", "Zr", "P"], "fractional_positions": [[0.000, 0.000, 0.500], [0.000, 0.500, 0.000], [0.500, 0.000, 0.000], [0.500, 0.500, 0.500], [0.000, 0.000, 0.000]]}

---

Version b
{"formula": "Hf3ZrP", "functional": "GGA-PBE", "state": "relaxed", "cell": [[5.085, 0.000, 0.000], [0.000, 5.085, 0.000], [0.000, 0.000, 5.085]], "species": ["Hf", "Hf", "Hf", "Zr", "P"], "fractional_positions": [[0.000, 0.000, 0.500], [0.000, 0.500, 0.000], [0.500, 0.000, 0.000], [0.000, 0.000, 0.000], [0.500, 0.500, 0.500]]}

---

Most stable structure, least stable structure: version a, version b.

---

Version a
{"formula": "HfZr3P", "functional": "GGA-PBE", "state": "relaxed", "cell": [[4.902, 0.000, 0.000], [0.000, 4.902, 0.000], [0.000, 0.000, 4.902]], "species": ["Hf", "Zr", "Zr", "Zr", "P"], "fractional_positions": [[0.000, 0.000, 0.000], [0.000, 0.500, 0.500], [0.500, 0.000, 0.500], [0.500, 0.500, 0.000], [0.500, 0.500, 0.500]]}

---

Version b
{"formula": "HfZr3P", "functional": "GGA-PBE", "state": "relaxed", "cell": [[5.116, 0.000, 0.000], [0.000, 5.116, 0.000], [0.000, 0.000, 5.116]], "species": ["Hf", "Zr", "Zr", "Zr", "P"], "fractional_positions": [[0.000, 0.000, 0.000], [0.000, 0.000, 0.500], [0.000, 0.500, 0.000], [0.500, 0.000, 0.000], [0.500, 0.500, 0.500]]}

---

Most stable structure, least stable structure: version a, version b.

---

Version a
{"formula": "Hf2ZrP2", "functional": "GGA-PBE", "state": "relaxed", "cell": [[7.010, 0.000, 0.000], [0.000, 7.010, 0.000], [0.000, 0.000, 3.565]], "species": ["Hf", "Hf", "Hf", "Hf", "Zr", "Zr", "P", "P", "P", "P"], "fractional_positions": [[0.160, 0.340, 0.000], [0.340, 0.840, 0.000], [0.660, 0.160, 0.000], [0.840, 0.660, 0.000], [0.000, 0.000, 0.500], [0.500, 0.500, 0.500], [0.139, 0.639, 0.500], [0.361, 0.139, 0.500], [0.639, 0.861, 0.500], [0.861, 0.361, 0.500]]}

---

Version b
{"formula": "Hf2ZrP2", "functional": "GGA-PBE", "state": "relaxed", "cell": [[4.406, -4.947, 0.000], [4.406, 4.947, 0.000], [-2.402, 0.000, 4.560]], "species": ["Hf", "Hf", "Hf", "Hf", "Zr", "Zr", "P", "P", "P", "P"], "fractional_positions": [[0.086, 0.286, 0.498], [0.286, 0.086, 0.998], [0.714, 0.914, 0.002], [0.914, 0.714, 0.502], [0.390, 0.610, 0.250], [0.610, 0.390, 0.750], [0.116, 0.884, 0.250], [0.318, 0.682, 0.750], [0.682, 0.318, 0.250], [0.884, 0.116, 0.750]]}

---

Most stable structure, least stable structure: version a, version b.